Record 1
# PBE Y2CdTcRh, relaxed
# * total magnetization: 0.00 μB per formula unit
# * energy: -5.718 eV per atom
# * space group: P4/mmm (123)
# * crystal system: tetragonal
data_Y2CdTcRh
_chemical_formula_sum 'Y2 Cd1 Tc1 Rh1'
_cell_length_a 5.0852
_cell_length_b 5.1148
_cell_length_c 5.0852
_cell_angle_alpha 90.00
_cell_angle_beta 90.00
_cell_angle_gamma 90.00
_space_group_name_H-M_alt 'P 1'
_space_group_IT_number 1
loop_
_space_group_symop_operation_xyz
'x,y,z'
loop_
_atom_site_label
_atom_site_type_symbol
_atom_site_fract_x
_atom_site_fract_y
_atom_site_fract_z
Y1 Y 0.0000 0.0000 0.5000
Y2 Y 0.5000 0.0000 0.0000
Rh1 Rh 0.5000 0.5000 0.5000
Tc1 Tc 0.0000 0.0000 0.0000
Cd1 Cd 0.0000 0.5000 0.0000


Record 2
# PBE AcSm7Er2, relaxed
# * total magnetization: 0.00 μB per formula unit
# * energy: -4.577 eV per atom
# * space group: C2/m (12)
# * crystal system: monoclinic
data_AcSm7Er2
_chemical_formula_sum 'Ac1 Sm7 Er2'
_cell_length_a 5.5726
_cell_length_b 9.0745
_cell_length_c 9.7019
_cell_angle_alpha 117.91
_cell_angle_beta 106.66
_cell_angle_gamma 52.13
_space_group_name_H-M_alt 'P 1'
_space_group_IT_number 1
loop_
_space_group_symop_operation_xyz
'x,y,z'
loop_
_atom_site_label
_atom_site_type_symbol
_atom_site_fract_x
_atom_site_fract_y
_atom_site_fract_z
Ac1 Ac 0.0000 0.0000 0.0000
Sm1 Sm 0.9997 0.7974 0.5944
Sm2 Sm 0.0003 0.2026 0.4056
Sm3 Sm 0.7535 0.6353 0.7778
Sm4 Sm 0.2465 0.3647 0.2222
Sm5 Sm 0.7535 0.8575 0.2222
Sm6 Sm 0.2465 0.1425 0.7778
Sm7 Sm 0.5000 0.5000 0.0000
Er1 Er 0.5006 0.6987 0.3980
Er2 Er 0.4994 0.3013 0.6020


Record 3
# PBE DySi2Rh, relaxed
# * total magnetization: 0.00 μB per formula unit
# * energy: -6.596 eV per atom
# * uncorrected formation energy: -897 meV per atom
# * space group: R-3m (166)
# * crystal system: trigonal
data_DySi2Rh
_chemical_formula_sum 'Dy1 Si2 Rh1'
_cell_length_a 4.0726
_cell_length_b 4.0726
_cell_length_c 5.4345
_cell_angle_alpha 67.99
_cell_angle_beta 67.99
_cell_angle_gamma 60.00
_space_group_name_H-M_alt 'P 1'
_space_group_IT_number 1
loop_
_space_group_symop_operation_xyz
'x,y,z'
loop_
_atom_site_label
_atom_site_type_symbol
_atom_site_fract_x
_atom_site_fract_y
_atom_site_fract_z
Si1 Si 0.7875 0.7875 0.6374
Si2 Si 0.2125 0.2125 0.3626
Rh1 Rh 0.5000 0.5000 0.5000
Dy1 Dy 0.0000 0.0000 0.0000


Record 4
# PBE YZrP2S, relaxed
# * total magnetization: 0.39 μB per formula unit
# * energy: -5.723 eV per atom
# * uncorrected formation energy: 269 meV per atom
# * space group: P4/mmm (123)
# * crystal system: tetragonal
data_YZrP2S
_chemical_formula_sum 'Y1 Zr1 P2 S1'
_cell_length_a 5.1049
_cell_length_b 5.1049
_cell_length_c 5.0060
_cell_angle_alpha 90.00
_cell_angle_beta 90.00
_cell_angle_gamma 90.00
_space_group_name_H-M_alt 'P 1'
_space_group_IT_number 1
loop_
_space_group_symop_operation_xyz
'x,y,z'
loop_
_atom_site_label
_atom_site_type_symbol
_atom_site_fract_x
_atom_site_fract_y
_atom_site_fract_z
Y1 Y 0.0000 0.0000 0.0000
P1 P 0.0000 0.5000 0.0000
P2 P 0.5000 0.0000 0.0000
S1 S 0.0000 0.0000 0.5000
Zr1 Zr 0.5000 0.5000 0.5000


Q: Which value of total magnetization does entry 2 give?
A: 0.00 μB per formula unit